(1)
ReSiAg2: optimized geometry, PBE-GGA.

Cell lengths 5.2691, 9.0491, 2.6994 Å; angles 90.00, 90.00, 90.00 degrees
With the nearest neighbours (Å) after each atom.
Element x y z (fractional)
Re1 0.0000 0.0000 0.0000  2 Si 2.63, 2 Re 2.70, 8 Ag 2.95
Re2 0.5000 0.5000 0.0000  2 Si 2.63, 2 Re 2.70, 8 Ag 2.95
Si1 0.0000 0.5000 0.0000  2 Re 2.63, 2 Si 2.70, 8 Ag 2.95
Si2 0.5000 0.0000 0.0000  2 Re 2.63, 2 Si 2.70, 8 Ag 2.95
Ag1 0.2500 0.2500 0.5000  4 Ag 2.63-2.70, 4 Re 2.95, 4 Si 2.95
Ag2 0.2500 0.7500 0.5000  4 Ag 2.63-2.70, 4 Re 2.95, 4 Si 2.95
Ag3 0.7500 0.2500 0.5000  4 Ag 2.63-2.70, 4 Re 2.95, 4 Si 2.95
Ag4 0.7500 0.7500 0.5000  4 Ag 2.63-2.70, 4 Re 2.95, 4 Si 2.95

***

(2)
Re4SiAg: optimized geometry, PBE-GGA.

Cell lengths 5.1925, 5.1925, 5.1925 Å; angles 60.00, 60.00, 60.00 degrees
With the nearest neighbours (Å) after each atom.
Element x y z (fractional)
Re1 0.1244 0.1244 0.1244  6 Re 2.58-2.61
Re2 0.1244 0.1244 0.6268  6 Re 2.58-2.61
Re3 0.1244 0.6268 0.1244  6 Re 2.58-2.61
Re4 0.6268 0.1244 0.1244  6 Re 2.58-2.61
Si1 0.5000 0.5000 0.5000  12 Re 3.05, 4 Ag 3.18
Ag1 0.7500 0.7500 0.7500  12 Re 3.04, 4 Si 3.18

***

Number 1: formation energy from raw total energies 510 meV/atom, DOS at the Fermi energy 2.996 states/eV per cell, total magnetic moment 0.000 μB/atom. Number 2: formation energy from raw total energies 825 meV/atom, DOS at the Fermi energy 5.094 states/eV per cell, total magnetic moment 0.000 μB/atom.